First-principles (PBE-GGA) data for crystalline KBeMo2 at its relaxed geometry, as listed in Alexandria via LeMat-Bulk.

Total magnetization (μB per formula unit): 0.000
DFT total energy (eV per formula unit): -20.9
DOS(E_F) (states/eV/f.u.): 4.04

CIF file:
```
data_KBeMo2
_chemical_formula_sum 'K1 Be1 Mo2'
_cell_length_a 5.8750
_cell_length_b 5.8750
_cell_length_c 2.5886
_cell_angle_alpha 97.19
_cell_angle_beta 97.19
_cell_angle_gamma 124.19
_space_group_name_H-M_alt 'P 1'
_space_group_IT_number 1
loop_
_space_group_symop_operation_xyz
'x,y,z'
loop_
_atom_site_label
_atom_site_type_symbol
_atom_site_fract_x
_atom_site_fract_y
_atom_site_fract_z
K1 K 0.0000 0.0000 0.0000
Be1 Be 0.5000 0.5000 0.0000
Mo1 Mo 0.0000 0.5000 0.5000
Mo2 Mo 0.5000 0.0000 0.5000
```